Entry 1:
Below is a geometry-optimized CdFeF4 structure, with properties calculated at the PBE+U level.

CIF file:
```
data_CdFeF4
_chemical_formula_sum 'Cd4 Fe4 F16'
_cell_length_a 5.349
_cell_length_b 7.403
_cell_length_c 7.759
_cell_angle_alpha 90.00
_cell_angle_beta 90.00
_cell_angle_gamma 90.00
_symmetry_space_group_name_H-M 'P 1'
_symmetry_Int_Tables_number 1
_symmetry_space_group_name_Hall 'P 1'
loop_
_atom_site_label
_atom_site_type_symbol
_atom_site_fract_x
_atom_site_fract_y
_atom_site_fract_z
F1 F 0.331 0.589 0.910
F2 F 0.331 0.911 0.410
F3 F 0.669 0.089 0.910
F4 F 0.846 0.036 0.250
Fe1 Fe 0.000 0.000 0.500
Cd1 Cd 0.525 0.818 0.750
F5 F 0.669 0.411 0.410
F6 F 0.331 0.911 0.090
F7 F 0.669 0.411 0.090
Cd2 Cd 0.525 0.682 0.250
Cd3 Cd 0.475 0.318 0.750
F8 F 0.200 0.250 0.000
F9 F 0.800 0.750 0.500
F10 F 0.154 0.536 0.250
Fe2 Fe 0.000 0.500 0.500
Cd4 Cd 0.475 0.182 0.250
F11 F 0.200 0.250 0.500
Fe3 Fe 0.000 0.000 0.000
F12 F 0.846 0.464 0.750
F13 F 0.331 0.589 0.590
Fe4 Fe 0.000 0.500 0.000
F14 F 0.800 0.750 0.000
F15 F 0.154 0.964 0.750
F16 F 0.669 0.089 0.590
```

Crystal system: orthorhombic
Excess energy over the best structure of this formula in the dataset (kJ/mol of atoms): 0.00

Entry 2:
Below is a geometry-optimized CdFe2F8 structure, with properties calculated at the PBE+U level.

CIF file:
```
data_CdFe2F8
_chemical_formula_sum 'Cd1 Fe2 F8'
_cell_length_a 5.297
_cell_length_b 5.320
_cell_length_c 5.320
_cell_angle_alpha 73.62
_cell_angle_beta 98.57
_cell_angle_gamma 98.57
_symmetry_space_group_name_H-M 'P 1'
_symmetry_Int_Tables_number 1
_symmetry_space_group_name_Hall 'P 1'
loop_
_atom_site_label
_atom_site_type_symbol
_atom_site_fract_x
_atom_site_fract_y
_atom_site_fract_z
Fe1 Fe 0.450 0.683 0.683
F1 F 0.829 0.214 0.214
F2 F 0.657 0.670 0.061
F3 F 0.657 0.061 0.670
F4 F 0.722 0.575 0.575
Fe2 Fe 0.550 0.317 0.317
Cd1 Cd 0.000 0.000 0.000
F5 F 0.171 0.786 0.786
F6 F 0.343 0.939 0.330
F7 F 0.278 0.425 0.425
F8 F 0.343 0.330 0.939
```

Crystal system: monoclinic

Entry 3:
Below is a geometry-optimized CdFeF3 structure, with properties calculated at the PBE+U level.

CIF file:
```
data_CdFeF3
_chemical_formula_sum 'Cd1 Fe1 F3'
_cell_length_a 4.157
_cell_length_b 4.157
_cell_length_c 4.157
_cell_angle_alpha 90.00
_cell_angle_beta 90.00
_cell_angle_gamma 90.00
_symmetry_space_group_name_H-M 'P 1'
_symmetry_Int_Tables_number 1
_symmetry_space_group_name_Hall 'P 1'
loop_
_atom_site_label
_atom_site_type_symbol
_atom_site_fract_x
_atom_site_fract_y
_atom_site_fract_z
F1 F 0.000 0.500 0.000
Cd1 Cd 0.500 0.500 0.500
F2 F 0.000 0.000 0.500
F3 F 0.500 0.000 0.000
Fe1 Fe 0.000 0.000 0.000
```

Crystal system: cubic
Excess energy over the best structure of this formula in the dataset (kJ/mol of atoms): 0.00

Entry 4:
Below is a geometry-optimized Cd2FeF6 structure, with properties calculated at the PBE+U level.

CIF file:
```
data_Cd2FeF6
_chemical_formula_sum 'Cd4 Fe2 F12'
_cell_length_a 5.061
_cell_length_b 5.061
_cell_length_c 10.457
_cell_angle_alpha 90.00
_cell_angle_beta 90.00
_cell_angle_gamma 90.00
_symmetry_space_group_name_H-M 'P 1'
_symmetry_Int_Tables_number 1
_symmetry_space_group_name_Hall 'P 1'
loop_
_atom_site_label
_atom_site_type_symbol
_atom_site_fract_x
_atom_site_fract_y
_atom_site_fract_z
F1 F 0.211 0.789 0.500
F2 F 0.289 0.289 0.000
F3 F 0.789 0.211 0.500
Cd1 Cd 0.500 0.500 0.166
F4 F 0.312 0.312 0.658
Cd2 Cd 0.000 0.000 0.666
F5 F 0.812 0.188 0.158
F6 F 0.188 0.812 0.158
Fe1 Fe 0.500 0.500 0.500
F7 F 0.711 0.711 0.000
Fe2 Fe 0.000 0.000 0.000
F8 F 0.188 0.812 0.842
Cd3 Cd 0.000 0.000 0.334
F9 F 0.812 0.188 0.842
F10 F 0.688 0.688 0.342
F11 F 0.688 0.688 0.658
F12 F 0.312 0.312 0.342
Cd4 Cd 0.500 0.500 0.834
```

Crystal system: tetragonal

Entry 5:
Below is a geometry-optimized CdFeF2 structure, with properties calculated at the PBE+U level.

CIF file:
```
data_CdFeF2
_chemical_formula_sum 'Cd1 Fe1 F2'
_cell_length_a 4.260
_cell_length_b 4.260
_cell_length_c 4.260
_cell_angle_alpha 60.00
_cell_angle_beta 60.00
_cell_angle_gamma 60.00
_symmetry_space_group_name_H-M 'P 1'
_symmetry_Int_Tables_number 1
_symmetry_space_group_name_Hall 'P 1'
loop_
_atom_site_label
_atom_site_type_symbol
_atom_site_fract_x
_atom_site_fract_y
_atom_site_fract_z
F1 F 0.750 0.750 0.750
Cd1 Cd 0.500 0.500 0.500
F2 F 0.250 0.250 0.250
Fe1 Fe 0.000 0.000 0.000
```

Crystal system: cubic
Excess energy over the best structure of this formula in the dataset (kJ/mol of atoms): 49.71

Entry 6:
Below is a geometry-optimized CdFeF4 structure, with properties calculated at the PBE+U level.

CIF file:
```
data_CdFeF4
_chemical_formula_sum 'Cd2 Fe2 F8'
_cell_length_a 5.207
_cell_length_b 5.207
_cell_length_c 6.565
_cell_angle_alpha 90.00
_cell_angle_beta 90.00
_cell_angle_gamma 103.03
_symmetry_space_group_name_H-M 'P 1'
_symmetry_Int_Tables_number 1
_symmetry_space_group_name_Hall 'P 1'
loop_
_atom_site_label
_atom_site_type_symbol
_atom_site_fract_x
_atom_site_fract_y
_atom_site_fract_z
F1 F 0.236 0.236 0.001
F2 F 0.240 0.764 0.750
F3 F 0.236 0.236 0.499
Cd1 Cd 0.501 0.501 0.250
Fe1 Fe 0.001 0.001 0.250
F4 F 0.764 0.764 0.999
Cd2 Cd 0.499 0.499 0.750
F5 F 0.760 0.236 0.250
F6 F 0.236 0.760 0.250
F7 F 0.764 0.764 0.501
F8 F 0.764 0.240 0.750
Fe2 Fe 0.999 0.999 0.750
```

Crystal system: orthorhombic
Excess energy over the best structure of this formula in the dataset (kJ/mol of atoms): 5.01

Entry 7:
Below is a geometry-optimized Cd2FeF structure, with properties calculated at the PBE+U level.

CIF file:
```
data_Cd2FeF
_chemical_formula_sum 'Cd2 Fe1 F1'
_cell_length_a 4.673
_cell_length_b 4.673
_cell_length_c 4.673
_cell_angle_alpha 60.00
_cell_angle_beta 60.00
_cell_angle_gamma 60.00
_symmetry_space_group_name_H-M 'P 1'
_symmetry_Int_Tables_number 1
_symmetry_space_group_name_Hall 'P 1'
loop_
_atom_site_label
_atom_site_type_symbol
_atom_site_fract_x
_atom_site_fract_y
_atom_site_fract_z
F1 F 0.000 0.000 0.000
Cd1 Cd 0.250 0.250 0.250
Fe1 Fe 0.500 0.500 0.500
Cd2 Cd 0.750 0.750 0.750
```

Crystal system: cubic
Excess energy over the best structure of this formula in the dataset (kJ/mol of atoms): 28.24

Entry 8:
Below is a geometry-optimized CdFeF3 structure, with properties calculated at the PBE+U level.

CIF file:
```
data_CdFeF3
_chemical_formula_sum 'Cd1 Fe1 F3'
_cell_length_a 4.403
_cell_length_b 4.403
_cell_length_c 4.403
_cell_angle_alpha 90.00
_cell_angle_beta 90.00
_cell_angle_gamma 90.00
_symmetry_space_group_name_H-M 'P 1'
_symmetry_Int_Tables_number 1
_symmetry_space_group_name_Hall 'P 1'
loop_
_atom_site_label
_atom_site_type_symbol
_atom_site_fract_x
_atom_site_fract_y
_atom_site_fract_z
Cd1 Cd 0.000 0.000 0.000
F1 F 0.500 0.000 0.000
F2 F 0.000 0.000 0.500
F3 F 0.000 0.500 0.000
Fe1 Fe 0.500 0.500 0.500
```

Crystal system: cubic
Excess energy over the best structure of this formula in the dataset (kJ/mol of atoms): 31.96

Entry 9:
Below is a geometry-optimized Cd2FeF structure, with properties calculated at the PBE+U level.

CIF file:
```
data_Cd2FeF
_chemical_formula_sum 'Cd4 Fe2 F2'
_cell_length_a 7.602
_cell_length_b 7.602
_cell_length_c 6.023
_cell_angle_alpha 50.87
_cell_angle_beta 50.87
_cell_angle_gamma 90.00
_symmetry_space_group_name_H-M 'P 1'
_symmetry_Int_Tables_number 1
_symmetry_space_group_name_Hall 'P 1'
loop_
_atom_site_label
_atom_site_type_symbol
_atom_site_fract_x
_atom_site_fract_y
_atom_site_fract_z
Fe1 Fe 0.000 0.000 0.000
Cd1 Cd 0.171 0.625 0.250
F1 F 0.250 0.750 0.500
Cd2 Cd 0.579 0.125 0.250
Fe2 Fe 0.750 0.250 0.500
F2 F 0.500 0.500 0.000
Cd3 Cd 0.875 0.829 0.750
Cd4 Cd 0.375 0.421 0.750
```

Crystal system: tetragonal
Excess energy over the best structure of this formula in the dataset (kJ/mol of atoms): 0.00

Entry 10:
Below is a geometry-optimized CdFeF2 structure, with properties calculated at the PBE+U level.

CIF file:
```
data_CdFeF2
_chemical_formula_sum 'Cd2 Fe2 F4'
_cell_length_a 6.197
_cell_length_b 6.197
_cell_length_c 6.588
_cell_angle_alpha 61.94
_cell_angle_beta 61.94
_cell_angle_gamma 90.00
_symmetry_space_group_name_H-M 'P 1'
_symmetry_Int_Tables_number 1
_symmetry_space_group_name_Hall 'P 1'
loop_
_atom_site_label
_atom_site_type_symbol
_atom_site_fract_x
_atom_site_fract_y
_atom_site_fract_z
F1 F 0.370 0.625 0.250
Cd1 Cd 0.750 0.250 0.500
F2 F 0.875 0.630 0.750
Fe1 Fe 0.250 0.750 0.500
F3 F 0.375 0.620 0.750
Cd2 Cd 0.000 0.000 0.000
Fe2 Fe 0.500 0.500 0.000
F4 F 0.380 0.125 0.250
```

Crystal system: tetragonal
Excess energy over the best structure of this formula in the dataset (kJ/mol of atoms): 0.00

| no. | magnetic moment (μB/cell) | VASP energy (eV/atom) |
| --- | --- | --- |
| 1 | 16.00 | -4.587 |
| 2 | 6.00 | -4.493 |
| 3 | 4.86 | -4.109 |
| 4 | 8.00 | -4.359 |
| 5 | 3.05 | -3.616 |
| 6 | 8.00 | -4.536 |
| 7 | 3.24 | -2.326 |
| 8 | 3.14 | -3.778 |
| 9 | 7.77 | -2.619 |
| 10 | 8.00 | -4.131 |